Record 1
This record from Alexandria describes a geometry-optimized CoRe2P structure. The functional is GGA-PBE.

Computed properties:
V in Å³/cell: 54.15
Formation energy from the elements in kcal/mol of atoms: 1.550

Unit cell a=5.1480 b=5.1480 c=5.1480 alpha=147.54 beta=131.76 gamma=59.35
With the nearest neighbours (Å) after each atom.
Atoms (fractional coordinates):
Co (0.0000, 0.0000, 0.0000)  4 P 2.55, 4 Re 2.82
Re (0.2907, 0.7907, 0.5000)  2 P 2.36
Re (0.7093, 0.2093, 0.5000)  2 P 2.36
P (0.5000, 0.5000, 0.0000)  4 Re 2.36, 4 Co 2.55

---

Record 2
This record from Alexandria describes a geometry-optimized CoRe2P structure. The functional is GGA-PBE.

Computed properties:
V in Å³/cell: 55.20
Formation energy from the elements in kcal/mol of atoms: 10.635

Unit cell a=2.7674 b=2.7674 c=8.0388 alpha=90.00 beta=90.00 gamma=116.27
With the nearest neighbours (Å) after each atom.
Atoms (fractional coordinates):
Co (0.0000, 0.0000, 0.0000)  4 Re 2.59, 4 Co 2.77
Re (0.5000, 0.5000, 0.2660)  2 P 2.38, 2 Co 2.59
Re (0.5000, 0.5000, 0.7340)  2 P 2.38, 2 Co 2.59
P (0.0000, 0.0000, 0.5000)  4 Re 2.38

---

Record 3
This record from Alexandria describes a geometry-optimized CoReP4 structure. The functional is GGA-PBE.

Computed properties:
V in Å³/cell: 78.75
Formation energy from the elements in kcal/mol of atoms: 21.762

Unit cell a=4.8111 b=4.8111 c=4.8111 alpha=60.00 beta=60.00 gamma=60.00
With the nearest neighbours (Å) after each atom.
Atoms (fractional coordinates):
Co (0.0000, 0.0000, 0.0000)  12 P 2.82, 4 Re 2.95
Re (0.2500, 0.2500, 0.2500)  12 P 2.82, 4 Co 2.95
P (0.1250, 0.6250, 0.6250)  6 P 2.41
P (0.6250, 0.1250, 0.6250)  6 P 2.41
P (0.6250, 0.6250, 0.1250)  6 P 2.41
P (0.6250, 0.6250, 0.6250)  6 P 2.41

---

Record 4
This record from Alexandria describes a geometry-optimized Co2ReP structure. The functional is GGA-PBE.

Computed properties:
V in Å³/cell: 47.06
Formation energy from the elements in kcal/mol of atoms: 1.225

Unit cell a=2.9493 b=3.9836 c=4.0055 alpha=90.00 beta=90.00 gamma=90.00
With the nearest neighbours (Å) after each atom.
Atoms (fractional coordinates):
Co (0.0000, 0.0000, 0.0000)  4 Co 2.48, 4 P 2.49
Co (0.5000, 0.5000, 0.0000)  4 Co 2.48, 4 Re 2.49
Re (0.0000, 0.5000, 0.5000)  4 P 2.48, 4 Co 2.49
P (0.5000, 0.0000, 0.5000)  4 Re 2.48, 4 Co 2.49